First-principles (PBE) data for a relaxed SnHg2Pb8 crystal, as listed in Alexandria.

volume = 362.0 Å³/cell
ΔH_f (0 K) = 0.105 eV per atom
distance to the lowest polymorph of the same formula = 0.701 eV/f.u.

Cell: 8.4936 8.4936 5.8035 Å, 102.57 102.57 63.43°
Atoms (fractional coordinates):
Sn 0.0000 0.0000 0.0000
Hg 0.1279 0.1279 0.4969
Hg 0.8721 0.8721 0.5031
Pb 0.2226 0.6336 0.2154
Pb 0.2306 0.2306 0.0541
Pb 0.3664 0.7774 0.7846
Pb 0.3670 0.3670 0.6655
Pb 0.6330 0.6330 0.3345
Pb 0.6336 0.2226 0.2154
Pb 0.7694 0.7694 0.9459
Pb 0.7774 0.3664 0.7846



First-principles (PBE) data for a relaxed SnHg12Pb3 crystal, as listed in Alexandria.

volume = 438.9 Å³/cell
ΔH_f (0 K) = 0.048 eV per atom

Cell: 3.4093 5.8672 21.9436 Å, 90.00 90.00 90.00°
Atoms (fractional coordinates):
Sn 0.0000 0.0000 0.0000
Hg 0.0000 0.5000 0.1251
Hg 0.0000 0.5000 0.3750
Hg 0.0000 0.5000 0.6250
Hg 0.0000 0.5000 0.8749
Hg 0.5000 0.0000 0.1196
Hg 0.5000 0.0000 0.3732
Hg 0.5000 0.0000 0.6268
Hg 0.5000 0.0000 0.8804
Hg 0.5000 0.5000 0.0000
Hg 0.5000 0.5000 0.2501
Hg 0.5000 0.5000 0.5000
Hg 0.5000 0.5000 0.7499
Pb 0.0000 0.0000 0.2451
Pb 0.0000 0.0000 0.5000
Pb 0.0000 0.0000 0.7549



So what do the calculations give for raw total energy? Going down the list: -33.116; -17.981 eV for the cell shown.
So what do the calculations give for DOS(E_F)? Going down the list: 0.483; 0.434 states/eV/atom.